1.
Compound: MgAs3
Source: the Alexandria database
Functional: GGA-PBEsol
Structure: optimized geometry

Lattice parameters (Å, degrees): 2.849 3.699 7.347 90.00 90.06 90.00
Space group P2/m (No. 10)
Symmetry-distinct sites (fractional):
1 Mg 0.000 0.000 0.000 x1
2 As 0.500 0.000 0.500 x1
3 As 0.500 0.500 0.235 x2

---

2.
Compound: MgAs3
Source: the Alexandria database
Functional: GGA-PBEsol
Structure: optimized geometry

Lattice parameters (Å, degrees): 5.8487 5.8487 5.1580 90.00 90.00 120.00
Space group P6_3/mmc (No. 194)
Symmetry-distinct sites (fractional):
1 Mg 0.3333 0.6667 0.2500 x2
2 As 0.1803 0.3606 0.7500 x6

---

3.
Compound: MgAs3
Source: the Alexandria database
Functional: GGA-PBEsol
Structure: optimized geometry

Lattice parameters (Å, degrees): 3.888 3.888 10.003 90.00 90.00 90.00
Space group I4/mmm (No. 139)
Symmetry-distinct sites (fractional):
1 Mg 0.000 0.000 0.000 x2
2 As 0.000 0.000 0.500 x2
3 As 0.000 0.500 0.250 x4

---

Looking at volume for the records above, in order, we have 77.4, 152.8, 151.2 Å³ per cell.
Looking at formation energy for the records above, in order, we have -0.072, 0.046, 0.064 eV/atom.